DFT (GGA+U) results for Ga2NiF8 after structural relaxation.

Structure (CIF):
```
data_Ga2NiF8
_chemical_formula_sum 'Ga2 Ni1 F8'
_space_group_name_H-M_alt 'P 1'
_space_group_IT_number 1
_cell_length_a 3.983
_cell_length_b 6.228
_cell_length_c 6.228
_cell_angle_alpha 120.01
_cell_angle_beta 90.00
_cell_angle_gamma 90.00
loop_
_space_group_symop_operation_xyz
'x,y,z'
loop_
_atom_site_label
_atom_site_fract_x
_atom_site_fract_y
_atom_site_fract_z
_atom_site_occupancy
F1 0.249 0.166 0.836 1
F2 0.751 0.836 0.670 1
F3 0.751 0.834 0.164 1
Ga1 0.761 0.667 0.333 1
F4 0.741 0.333 0.667 1
Ni1 0.000 0.000 0.000 1
F5 0.259 0.667 0.333 1
Ga2 0.239 0.333 0.667 1
F6 0.249 0.670 0.834 1
F7 0.751 0.330 0.166 1
F8 0.249 0.164 0.330 1
```

magnetization = 2.050 μB per formula unit
E = -4.51 eV/atom